Entry 1:
{
  "formula": "CsBS2",
  "functional": "PBE",
  "state": "optimized geometry",
  "rho_g_cm3": 2.04,
  "de_polymorph_ev_per_fu": 0.20,
  "lattice_angstrom": [[5.7337, -0.0003, -0.0110], [0.0003, 6.7032, -0.0068], [0.0072, 0.0087, 8.8107]],
  "species": ["Cs", "Cs", "S", "S", "S", "S", "B", "B"],
  "fractional_positions": [[0.9513, 0.4936, 0.5292], [0.4512, 0.9906, 0.0294], [0.9514, 0.6886, 0.9145], [0.4515, 0.7956, 0.4144], [0.9512, 0.2915, 0.1462], [0.4513, 0.1928, 0.6461], [0.4514, 0.9942, 0.5302], [0.9513, 0.4900, 0.0303]]
}


Entry 2:
{
  "formula": "Ba2MnCo",
  "functional": "PBE",
  "state": "optimized geometry",
  "rho_g_cm3": 4.10,
  "de_polymorph_ev_per_fu": 0.82,
  "delta_e_f_mev_per_atom": 523,
  "lattice_angstrom": [[-9.2655, 4.6895, 5.2416], [-6.0792, -0.9803, -9.8690], [-8.3791, -0.2635, -1.6680]],
  "species": ["Mn", "Mn", "Co", "Co", "Ba", "Ba", "Ba", "Ba"],
  "fractional_positions": [[0.5000, 0.5000, 0.0000], [0.2500, 0.7500, 0.5000], [0.0000, 0.0000, 0.0000], [0.7500, 0.2500, 0.5000], [0.8099, 0.1250, 0.2500], [0.9401, 0.6250, 0.2500], [0.3750, 0.1901, 0.7500], [0.8750, 0.0599, 0.7500]]
}


Entry 3:
{
  "formula": "Nd6SiTe3Se2",
  "functional": "PBE",
  "state": "optimized geometry",
  "rho_g_cm3": 6.68,
  "e_tot_ev_per_cell": -68.4,
  "lattice_angstrom": [[-0.7619, -1.4670, -4.0074], [8.7125, -0.6467, -1.4197], [-2.2025, -7.8071, 5.6213]],
  "species": ["Nd", "Nd", "Nd", "Nd", "Nd", "Nd", "Si", "Te", "Te", "Te", "Se", "Se"],
  "fractional_positions": [[0.3442, 0.9080, 0.6885], [0.6712, 0.5661, 0.3424], [0.6558, 0.0920, 0.3115], [0.0038, 0.2279, 0.0075], [0.9962, 0.7721, 0.9925], [0.3288, 0.4339, 0.6576], [0.5000, 0.0000, 0.0000], [0.5000, 0.5000, 0.0000], [0.8312, 0.1682, 0.6624], [0.1688, 0.8318, 0.3376], [0.8328, 0.6682, 0.6657], [0.1672, 0.3318, 0.3343]]
}


Entry 4:
{
  "formula": "Y2TaPt2",
  "functional": "PBE",
  "state": "optimized geometry",
  "rho_g_cm3": 11.36,
  "delta_e_f_mev_per_atom": -772,
  "lattice_angstrom": [[-5.0222, -1.8920, -4.3591], [-3.2105, -3.3250, 5.1421], [-2.3216, 3.8163, 1.0182]],
  "species": ["Y", "Y", "Y", "Y", "Pt", "Pt", "Pt", "Pt", "Ta", "Ta"],
  "fractional_positions": [[0.1731, 0.6731, 0.5000], [0.6731, 0.8269, 0.5000], [0.8269, 0.3269, 0.5000], [0.3269, 0.1731, 0.5000], [0.3592, 0.8592, 0.0000], [0.8592, 0.6408, 0.0000], [0.6408, 0.1408, 0.0000], [0.1408, 0.3592, 0.0000], [0.0000, 0.0000, 0.0000], [0.5000, 0.5000, 0.0000]]
}


Entry 5:
{
  "formula": "Dy2ErPu",
  "functional": "PBE",
  "state": "optimized geometry",
  "rho_g_cm3": 10.05,
  "de_polymorph_ev_per_fu": 0.00,
  "delta_e_f_mev_per_atom": 92,
  "lattice_angstrom": [[-0.3539, -3.4984, 0.2724], [1.7389, -2.1263, -2.2120], [9.1802, -2.1988, 6.5191]],
  "species": ["Dy", "Dy", "Er", "Pu"],
  "fractional_positions": [[0.0829, 0.0829, 0.7518], [0.2505, 0.2505, 0.2482], [0.5004, 0.5004, 0.4987], [0.6662, 0.6662, 0.0012]]
}


Entry 6:
{
  "formula": "NbTcAgAu2",
  "functional": "PBE",
  "state": "optimized geometry",
  "rho_g_cm3": 8.81,
  "delta_e_f_mev_per_atom": 1686,
  "lattice_angstrom": [[-4.4311, 2.4153, -0.1761], [-2.3117, -4.3436, -1.4064], [-0.8132, -1.1382, 4.8521]],
  "species": ["Nb", "Au", "Au", "Tc", "Ag"],
  "fractional_positions": [[0.0000, 0.0000, 0.0000], [0.0000, 0.0000, 0.5000], [0.5000, 0.0000, 0.0000], [0.5000, 0.5000, 0.5000], [0.0000, 0.5000, 0.0000]]
}


Entry 7:
{
  "formula": "TiCoC3",
  "functional": "PBE",
  "state": "optimized geometry",
  "rho_g_cm3": 3.86,
  "de_polymorph_ev_per_fu": 3.45,
  "delta_e_f_mev_per_atom": 2310,
  "lattice_angstrom": [[3.9464, 0.0000, 0.0000], [0.0000, 3.9464, 0.0000], [0.0000, 0.0000, 3.9464]],
  "species": ["C", "C", "C", "Co", "Ti"],
  "fractional_positions": [[0.0000, 0.5000, 0.0000], [0.0000, 0.0000, 0.5000], [0.5000, 0.0000, 0.0000], [0.5000, 0.5000, 0.5000], [0.0000, 0.0000, 0.0000]]
}


Entry 8:
{
  "formula": "MgTiSeBr2",
  "functional": "PBE",
  "state": "optimized geometry",
  "rho_g_cm3": 3.83,
  "de_polymorph_ev_per_fu": 1.43,
  "lattice_angstrom": [[-0.4629, 4.1218, -2.7981], [-1.6751, -2.7753, -3.8111], [-5.0512, 0.6289, 1.7622]],
  "species": ["Mg", "Se", "Br", "Br", "Ti"],
  "fractional_positions": [[0.0000, 0.0000, 0.0000], [0.0000, 0.0000, 0.5000], [0.0000, 0.5000, 0.0000], [0.5000, 0.0000, 0.0000], [0.5000, 0.5000, 0.5000]]
}


Entry 9:
{
  "formula": "BaTmSb2Au2",
  "functional": "PBE",
  "state": "optimized geometry",
  "rho_g_cm3": 9.43,
  "e_tot_ev_per_cell": -26.1,
  "lattice_angstrom": [[4.7648, 0.0000, 0.0000], [-2.3824, 4.1265, 0.0000], [0.0000, 0.0000, 8.4549]],
  "species": ["Ba", "Tm", "Sb", "Sb", "Au", "Au"],
  "fractional_positions": [[0.0000, 0.0000, 0.0000], [0.0000, 0.0000, 0.5000], [0.6667, 0.3333, 0.2692], [0.3333, 0.6667, 0.7308], [0.6667, 0.3333, 0.6699], [0.3333, 0.6667, 0.3301]]
}


Entry 10:
{
  "formula": "La5GaHg2",
  "functional": "PBE",
  "state": "optimized geometry",
  "rho_g_cm3": 7.82,
  "delta_e_f_mev_per_atom": -394,
  "lattice_angstrom": [[5.4532, 0.0000, 0.0000], [0.0000, 6.8862, 0.0000], [0.0000, 0.0000, 13.1849]],
  "species": ["La", "La", "La", "La", "La", "La", "La", "La", "La", "La", "Ga", "Ga", "Hg", "Hg", "Hg", "Hg"],
  "fractional_positions": [[0.5000, 0.3618, 0.0975], [0.5000, 0.6382, 0.9025], [0.5000, 0.8618, 0.4025], [0.5000, 0.1382, 0.5975], [0.0000, 0.8306, 0.7169], [0.0000, 0.1694, 0.2831], [0.0000, 0.3306, 0.7831], [0.0000, 0.6694, 0.2169], [0.0000, 0.5000, 0.5000], [0.0000, 0.0000, 0.0000], [0.0000, 0.0000, 0.5000], [0.0000, 0.5000, 0.0000], [0.5000, 0.3987, 0.3521], [0.5000, 0.6013, 0.6479], [0.5000, 0.1013, 0.8521], [0.5000, 0.8987, 0.1479]]
}


Entry 11:
{
  "formula": "B2Mo2Ru",
  "functional": "PBE",
  "state": "optimized geometry",
  "rho_g_cm3": 9.31,
  "de_polymorph_ev_per_fu": 0.40,
  "delta_e_f_mev_per_atom": -312,
  "lattice_angstrom": [[-1.8075, 0.9200, -5.6370], [-5.6271, -1.3004, 1.5921], [-0.5109, 3.0135, 0.6557]],
  "species": ["Ru", "Ru", "Mo", "Mo", "Mo", "Mo", "B", "B", "B", "B"],
  "fractional_positions": [[0.0000, 0.0000, 0.0000], [0.5000, 0.5000, 0.0000], [0.1707, 0.6707, 0.5000], [0.6707, 0.8293, 0.5000], [0.8293, 0.3293, 0.5000], [0.3293, 0.1707, 0.5000], [0.3881, 0.8881, 0.0000], [0.8881, 0.6119, 0.0000], [0.6119, 0.1119, 0.0000], [0.1119, 0.3881, 0.0000]]
}


Entry 12:
{
  "formula": "SmSi2Os2",
  "functional": "PBE",
  "state": "optimized geometry",
  "rho_g_cm3": 11.33,
  "de_polymorph_ev_per_fu": 0.00,
  "lattice_angstrom": [[5.7276, -0.0065, 0.0000], [2.6695, 5.0675, 0.0000], [-4.1986, -2.5305, 2.9621]],
  "species": ["Sm", "Si", "Si", "Os", "Os"],
  "fractional_positions": [[0.0000, 0.0000, 0.0000], [0.3703, 0.3703, 0.0000], [0.6297, 0.6297, 0.0000], [0.2500, 0.7500, 0.5000], [0.7500, 0.2500, 0.5000]]
}


Computed values of size of the total moment (unit: Bohr magnetons per cell) for the preceding records, in sequence: 0.0 8.0 0.0 0.0 5.9 4.1 0.0 2.0 0.0 0.0 0.0 0.0.